Record 1
A geometry-optimized La5Nd2In structure. Source: Alexandria via LeMat-Bulk, functional PBE.

a = 7.4939 Å, b = 7.4941 Å, c = 7.1374 Å
α = 121.65°, β = 121.65°, γ = 90.03°
Closest atoms and distances in Å follow each position.
Atoms (fractional coordinates):
La: 0.2409 0.2409 0.9376  4 La 3.41-3.71, 4 Nd 3.56-3.60, 2 In 3.56-3.60
La: 0.6963 0.2410 0.9372  4 La 3.41-3.71, 4 Nd 3.56-3.60, 2 In 3.56-3.61
La: 0.2410 0.6963 0.9373  4 La 3.41-3.71, 4 Nd 3.56-3.60, 2 In 3.56-3.61
La: 0.7638 0.7638 0.5277  8 La 3.49-3.71, 4 Nd 3.77
La: 0.6967 0.6967 0.9376  4 La 3.41-3.71, 4 Nd 3.56-3.60, 2 In 3.56-3.60
Nd: 0.7218 0.2219 0.4436  10 La 3.56-3.77, 2 In 3.76
Nd: 0.2218 0.7218 0.4437  10 La 3.56-3.77, 2 In 3.76
In: 0.1947 0.1947 0.3893  8 La 3.56-3.61, 4 Nd 3.76

magnetization	0.0	μB per formula unit
electronic total energy	-4.72	eV per atom
crystal system	tetragonal
ΔE_f	-0.1016	eV per atom
SG	I4mm, No. 107

Record 2
A geometry-optimized La3Nd4In4 structure. Source: Alexandria via LeMat-Bulk, functional PBE.

a = 4.6923 Å, b = 8.5648 Å, c = 10.3963 Å
α = 114.33°, β = 103.04°, γ = 90.00°
Closest atoms and distances in Å follow each position.
Atoms (fractional coordinates):
Nd: 0.3349 0.5342 0.6697  4 In 3.14-3.19, 1 Nd 3.41
Nd: 0.6651 0.4658 0.3303  4 In 3.14-3.19, 1 Nd 3.41
Nd: 0.6651 0.8645 0.3303  4 In 3.14-3.19, 1 Nd 3.41
Nd: 0.3349 0.1355 0.6697  4 In 3.14-3.19, 1 Nd 3.41
In: 0.7633 0.2633 0.5266  6 Nd 3.14-3.19
In: 0.5000 0.1876 0.0000  2 Nd 3.18, 1 In 3.21, 6 La 3.50-3.56
In: 0.5000 0.8124 0.0000  2 Nd 3.18, 1 In 3.21, 6 La 3.50-3.56
In: 0.2367 0.7367 0.4734  6 Nd 3.14-3.19
La: 0.0000 0.5000 0.0000  4 In 3.56
La: 0.8893 0.8893 0.7785  6 In 3.50-3.65, 4 Nd 3.62
La: 0.1107 0.1107 0.2215  6 In 3.50-3.65, 4 Nd 3.62

magnetization	0.0	μB per formula unit
electronic total energy	-4.34	eV per atom
crystal system	orthorhombic
ΔE_f	-0.2700	eV per atom
SG	Immm, No. 71

Record 3
A geometry-optimized La2Nd3In4 structure. Source: Alexandria via LeMat-Bulk, functional PBE.

a = 5.5081 Å, b = 5.4982 Å, c = 10.5474 Å
α = 90.18°, β = 90.00°, γ = 59.94°
Closest atoms and distances in Å follow each position.
Atoms (fractional coordinates):
In: 0.3338 0.3325 0.1019  4 Nd 3.35-3.39, 4 La 3.38-3.41
In: 0.9996 0.0008 0.6483  1 In 3.13, 3 Nd 3.26-3.27, 3 La 3.47
In: 0.6662 0.6675 0.8981  4 Nd 3.35-3.39, 4 La 3.38-3.41
In: 0.0004 0.9992 0.3517  1 In 3.13, 3 Nd 3.26-3.27, 3 La 3.47
La: 0.3328 0.3343 0.7815  7 In 3.38-3.47, 1 Nd 3.78
La: 0.6672 0.6657 0.2185  7 In 3.38-3.47, 1 Nd 3.78
Nd: 0.6663 0.6673 0.5765  4 In 3.26-3.39, 3 Nd 3.56
Nd: 0.3337 0.3327 0.4235  4 In 3.26-3.39, 3 Nd 3.56
Nd: 0.0000 0.0000 0.0000  8 In 3.35-3.71

magnetization	0.0	μB per formula unit
electronic total energy	-4.32	eV per atom
crystal system	monoclinic
ΔE_f	-0.4160	eV per atom
SG	C2/m, No. 12

Record 4
A geometry-optimized LaNd2In structure. Source: Alexandria via LeMat-Bulk, functional PBE.

a = 3.7254 Å, b = 3.7254 Å, c = 9.3879 Å
α = 90.00°, β = 90.00°, γ = 90.00°
Closest atoms and distances in Å follow each position.
Atoms (fractional coordinates):
Nd: 0.0000 0.0000 0.2228  4 In 3.36, 4 La 3.70, 4 Nd 3.73
Nd: 0.0000 0.0000 0.7772  4 In 3.36, 4 La 3.70, 4 Nd 3.73
In: 0.5000 0.5000 0.0000  8 Nd 3.36, 4 In 3.73
La: 0.5000 0.5000 0.5000  8 Nd 3.70, 4 La 3.73

magnetization	0.0	μB per formula unit
electronic total energy	-4.53	eV per atom
crystal system	tetragonal
ΔE_f	-0.2328	eV per atom
SG	P4/mmm, No. 123